[1]
# TaInAg2H

A relaxed TaInAg2H crystal (PBE, Alexandria).

Output
calculated volume	153.7	Å³/cell
relative energy among the computed polymorphs	1405.7	meV/atom
DFT total energy	-3.0605	eV per atom
DOS(E_F)	4.28	states/eV/f.u.

a = 5.229 Å, b = 5.229 Å, c = 5.619 Å
α = 90.00°, β = 90.00°, γ = 90.00°
Fractional positions:
1 Ta 0.000 0.000 0.000
2 In 0.000 0.000 0.500
3 Ag 0.000 0.500 0.000
4 Ag 0.500 0.000 0.000
5 H 0.500 0.500 0.500



[2]
# TiAl2Ga3

A relaxed TiAl2Ga3 crystal (PBE, Alexandria).

Output
calculated volume	97.7	Å³/cell
calculated formation energy	-96	kJ/mol of formula units
DFT total energy	-4.2431	eV per atom
DOS(E_F)	3.04	states/eV/f.u.

a = 6.716 Å, b = 6.716 Å, c = 3.855 Å
α = 90.00°, β = 90.00°, γ = 145.82°
Fractional positions:
1 Ti 0.000 0.000 0.000
2 Al 0.338 0.662 0.000
3 Al 0.662 0.338 0.000
4 Ga 0.168 0.832 0.500
5 Ga 0.500 0.500 0.500
6 Ga 0.832 0.168 0.500



[3]
# PrNdH

A relaxed PrNdH crystal (PBE, Alexandria).

Output
calculated volume	73.0	Å³/cell
relative energy among the computed polymorphs	80.0	meV/atom
DFT total energy	-4.5006	eV per atom
DOS(E_F)	3.03	states/eV/f.u.

a = 3.765 Å, b = 3.765 Å, c = 5.950 Å
α = 90.00°, β = 90.00°, γ = 120.00°
Fractional positions:
1 Pr 0.000 0.000 0.000
2 Nd 0.667 0.333 0.521
3 H 0.333 0.667 0.757



[4]
# DyMg4Sc2

A relaxed DyMg4Sc2 crystal (PBE, Alexandria).

Output
calculated volume	186.7	Å³/cell
relative energy among the computed polymorphs	263.7	meV/atom
calculated formation energy	266	kJ/mol of formula units
DFT total energy	-2.9833	eV per atom
DOS(E_F)	6.54	states/eV/f.u.

a = 6.584 Å, b = 6.584 Å, c = 5.538 Å
α = 90.00°, β = 90.00°, γ = 128.97°
Fractional positions:
1 Dy 0.000 0.000 0.000
2 Mg 0.126 0.874 0.500
3 Mg 0.283 0.717 0.000
4 Mg 0.717 0.283 0.000
5 Mg 0.874 0.126 0.500
6 Sc 0.375 0.625 0.500
7 Sc 0.625 0.375 0.500



[5]
# RbTeO2

A relaxed RbTeO2 crystal (PBE, Alexandria).

Output
calculated volume	82.7	Å³/cell
DFT total energy	-4.1496	eV per atom
DOS(E_F)	1.48	states/eV/f.u.
E_form (uncorrected)	-0.6432	eV/atom

a = 7.331 Å, b = 7.331 Å, c = 7.331 Å
α = 29.16°, β = 29.16°, γ = 29.16°
Fractional positions:
1 Rb 0.000 0.000 0.000
2 Te 0.500 0.500 0.500
3 O 0.122 0.122 0.122
4 O 0.878 0.878 0.878



[6]
# CrCd2W

A relaxed CrCd2W crystal (PBE, Alexandria).

Output
calculated volume	68.0	Å³/cell
relative energy among the computed polymorphs	328.3	meV/atom
calculated formation energy	270	kJ/mol of formula units
DFT total energy	-5.4032	eV per atom
DOS(E_F)	3.00	states/eV/f.u.

a = 2.735 Å, b = 2.735 Å, c = 9.292 Å
α = 90.00°, β = 90.00°, γ = 101.93°
Fractional positions:
1 Cr 0.000 0.000 0.000
2 Cd 0.500 0.500 0.240
3 Cd 0.500 0.500 0.760
4 W 0.000 0.000 0.500



[7]
# PmMnGe2Os

A relaxed PmMnGe2Os crystal (PBE, Alexandria).

Output
calculated volume	90.3	Å³/cell
calculated formation energy	-232	kJ/mol of formula units
DFT total energy	-7.3573	eV per atom
DOS(E_F)	1.11	states/eV/f.u.

a = 6.132 Å, b = 6.132 Å, c = 6.132 Å
α = 141.08°, β = 141.08°, γ = 56.22°
Fractional positions:
1 Pm 0.000 0.000 0.000
2 Mn 0.250 0.750 0.500
3 Ge 0.379 0.379 0.000
4 Ge 0.621 0.621 0.000
5 Os 0.750 0.250 0.500



[8]
# Sr2YInH

A relaxed Sr2YInH crystal (PBE, Alexandria).

Output
calculated volume	137.6	Å³/cell
DFT total energy	-3.3978	eV per atom
DOS(E_F)	4.14	states/eV/f.u.

a = 5.103 Å, b = 5.103 Å, c = 5.282 Å
α = 90.00°, β = 90.00°, γ = 90.00°
Fractional positions:
1 Sr 0.000 0.500 0.000
2 Sr 0.500 0.000 0.000
3 Y 0.000 0.000 0.500
4 In 0.500 0.500 0.500
5 H 0.000 0.000 0.000



Look up the calculated volume of the eighth one.
137.6 Å³/cell



Look up the calculated volume of the first one.
153.7 Å³/cell



What did the fifth record say?
# RbTeO2

A relaxed RbTeO2 crystal (PBE, Alexandria).

Output
calculated volume	82.7	Å³/cell
DFT total energy	-4.1496	eV per atom
DOS(E_F)	1.48	states/eV/f.u.
E_form (uncorrected)	-0.6432	eV/atom

a = 7.331 Å, b = 7.331 Å, c = 7.331 Å
α = 29.16°, β = 29.16°, γ = 29.16°
Fractional positions:
1 Rb 0.000 0.000 0.000
2 Te 0.500 0.500 0.500
3 O 0.122 0.122 0.122
4 O 0.878 0.878 0.878



The highest calculated volume belongs to which entry?
DyMg4Sc2